Entry 1:
DFT (GGA-PBE) results for crystalline Rb2CdSeO4 at its relaxed geometry.

Properties
Uncorrected formation energy ... -8.327 eV per formula unit
Magnetic moment ... 0.00 μB per formula unit
Total DFT energy (no corrections) ... -4.3119 eV/atom

Cell lengths 6.0475, 6.0475, 6.0475 Å; angles 94.49, 117.44, 117.44 degrees
Fractional positions:
O 0.9155 0.5280 0.1583
O 0.3697 0.8417 0.7571
O 0.6303 0.3874 0.4720
O 0.0845 0.2429 0.6126
Rb 0.0000 0.0000 0.0000
Rb 0.5000 0.7500 0.2500
Cd 0.5000 0.2500 0.7500
Se 0.0000 0.5000 0.5000

=====

Entry 2:
DFT (GGA-PBE) results for crystalline Cu2TcW2 at its relaxed geometry.

Properties
Formation energy from the elements ... 0.6429 eV/atom
Magnetic moment ... 0.00 μB per formula unit
Total DFT energy (no corrections) ... -8.2500 eV/atom

Cell lengths 7.9085, 7.9085, 7.9085 Å; angles 157.13, 157.13, 32.57 degrees
Fractional positions:
Cu 0.2500 0.7500 0.5000
Cu 0.7500 0.2500 0.5000
W 0.3965 0.3965 0.0000
W 0.6035 0.6035 0.0000
Tc 0.0000 0.0000 0.0000

=====

Entry 3:
DFT (GGA-PBE) results for crystalline AcPuN2 at its relaxed geometry.

Properties
Uncorrected formation energy ... -4.507 eV per formula unit
Magnetic moment ... 4.95 μB per formula unit
Total DFT energy (no corrections) ... -9.8995 eV/atom

Cell lengths 3.6397, 3.6397, 12.1339 Å; angles 90.00, 90.00, 120.00 degrees
Last column: magnetic moment on the atom in μB.
Fractional positions:
N 0.3333 0.6667 0.3962  -0.17
N 0.3333 0.6667 0.1038  -0.17
N 0.6667 0.3333 0.6038  -0.17
N 0.6667 0.3333 0.8962  -0.17
Ac 0.3333 0.6667 0.7500  0.19
Ac 0.6667 0.3333 0.2500  0.19
Pu 0.0000 0.0000 0.5000  4.71
Pu 0.0000 0.0000 0.0000  4.71